--- w ---
Here is a geometry-optimized TlGaSnAu2 structure from Alexandria via LeMat-Bulk. Energies are from PBE.

Calculated values
space-group type	No. 12
calculated volume	244.4	Å³/cell
total magnetization	0.00	μB/cell

```
10
Lattice="7.706 -2.221 0.000 7.706 2.221 0.000 -4.442 0.000 7.139" Properties=species:S:1:pos:R:3 pbc="T T T"
Tl 3.071 0.000 1.218
Tl 7.899 0.000 5.922
Ga 6.380 0.000 0.823
Ga 4.591 0.000 6.317
Sn -0.045 0.000 3.197
Sn 11.016 0.000 3.943
Au -1.954 0.000 5.352
Au 2.175 0.000 5.248
Au 8.796 0.000 1.891
Au 12.924 0.000 1.787
```

---

--- x ---
Here is a geometry-optimized TlGaSnAu2 structure from Alexandria via LeMat-Bulk. Energies are from PBE.

Calculated values
space-group type	No. 123
calculated volume	133.5	Å³/cell
total magnetization	0.00	μB/cell

```
5
Lattice="4.954 0.000 0.000 0.000 4.954 0.000 0.000 0.000 5.440" Properties=species:S:1:pos:R:3 pbc="T T T"
Tl 0.000 0.000 0.000
Ga 2.477 2.477 2.720
Sn 2.477 2.477 0.000
Au 0.000 2.477 2.720
Au 2.477 0.000 2.720
```

---

Which one sits at the bottom of the stability order? x does.

---

--- w ---
Here is a geometry-optimized Sr3GaAu structure from Alexandria via LeMat-Bulk. Energies are from PBE.

Calculated values
space-group type	No. 221
calculated volume	216.4	Å³/cell
total magnetization	0.00	μB/cell

```
5
Lattice="6.004 0.000 0.000 0.000 6.004 0.000 0.000 0.000 6.004" Properties=species:S:1:pos:R:3 pbc="T T T"
Sr 0.000 0.000 3.002
Sr 0.000 3.002 0.000
Sr 3.002 0.000 0.000
Ga 3.002 3.002 3.002
Au 0.000 0.000 0.000
```

---

--- x ---
Here is a geometry-optimized Sr3GaAu structure from Alexandria via LeMat-Bulk. Energies are from PBE.

Calculated values
space-group type	No. 12
calculated volume	360.1	Å³/cell
total magnetization	0.00	μB/cell

```
10
Lattice="11.282 -2.179 0.000 11.282 2.179 0.000 -1.191 0.000 7.326" Properties=species:S:1:pos:R:3 pbc="T T T"
Sr -0.045 0.000 1.774
Sr 3.945 0.000 0.884
Sr 7.746 0.000 2.723
Sr 13.628 0.000 4.602
Sr 17.429 0.000 6.441
Sr 21.419 0.000 5.551
Ga 4.744 0.000 4.320
Ga 16.630 0.000 3.005
Au 9.618 0.000 0.000
Au 11.756 0.000 7.325
```

---

Which one sits at the bottom of the stability order? w does.

---

--- w ---
Here is a geometry-optimized Sr3Ga8Au3 structure from Alexandria via LeMat-Bulk. Energies are from PBE.

Calculated values
space-group type	No. 12
calculated volume	301.4	Å³/cell
total magnetization	0.00	μB/cell

```
14
Lattice="8.236 -2.287 0.000 8.236 2.287 0.000 -5.893 0.000 8.001" Properties=species:S:1:pos:R:3 pbc="T T T"
Sr 0.000 0.000 0.000
Sr 3.181 0.000 2.378
Sr 7.399 0.000 5.623
Ga -2.750 0.000 6.895
Ga -0.150 0.000 3.376
Ga 1.418 0.000 5.635
Ga 4.142 0.000 5.524
Ga 6.437 0.000 2.477
Ga 9.162 0.000 2.366
Ga 10.730 0.000 4.625
Ga 13.329 0.000 1.106
Au -2.947 0.000 4.000
Au -0.108 0.000 7.879
Au 10.688 0.000 0.122
```

---

--- x ---
Here is a geometry-optimized Sr3Ga8Au3 structure from Alexandria via LeMat-Bulk. Energies are from PBE.

Calculated values
space-group type	No. 71
calculated volume	300.5	Å³/cell
total magnetization	0.00	μB/cell

```
14
Lattice="-2.266 5.098 6.501 2.266 -5.098 6.501 2.266 5.098 -6.501" Properties=species:S:1:pos:R:3 pbc="T T T"
Sr 0.000 0.000 0.000
Sr 0.000 0.000 4.102
Sr 0.000 0.000 8.900
Ga 2.266 -1.344 2.224
Ga 2.266 -2.266 4.768
Ga 2.266 1.344 2.224
Ga 0.000 2.832 1.732
Ga 2.266 2.266 4.768
Ga 0.000 3.755 4.276
Ga 0.000 7.364 1.732
Ga 0.000 6.442 4.276
Au 2.266 2.754 0.000
Au 0.000 5.098 0.000
Au 0.000 2.344 6.501
```

---

Which one sits at the bottom of the stability order? x does.

---

--- w ---
Here is a geometry-optimized Sr8Ga2Au structure from Alexandria via LeMat-Bulk. Energies are from PBE.

Calculated values
space-group type	No. 12
calculated volume	422.5	Å³/cell
total magnetization	0.00	μB/cell

```
11
Lattice="10.168 -2.797 0.000 10.168 2.797 0.000 -2.171 0.000 7.427" Properties=species:S:1:pos:R:3 pbc="T T T"
Sr 0.061 0.000 2.212
Sr 2.492 0.000 6.086
Sr 5.652 0.000 3.979
Sr 8.106 0.000 0.473
Sr 10.059 0.000 6.954
Sr 12.513 0.000 3.448
Sr 15.673 0.000 1.341
Sr 18.104 0.000 5.215
Ga 3.306 0.000 1.599
Ga 14.859 0.000 5.828
Au 9.083 0.000 3.713
```

---

--- x ---
Here is a geometry-optimized Sr8Ga2Au structure from Alexandria via LeMat-Bulk. Energies are from PBE.

Calculated values
space-group type	No. 8
calculated volume	461.4	Å³/cell
total magnetization	0.00	μB/cell

```
11
Lattice="4.923 -7.222 0.000 4.923 7.222 0.000 -2.440 0.000 6.489" Properties=species:S:1:pos:R:3 pbc="T T T"
Sr 0.000 0.000 0.000
Sr 0.057 1.932 3.745
Sr 3.036 2.928 1.198
Sr 0.057 -1.932 3.745
Sr 3.665 1.895 5.111
Sr 3.036 -2.928 1.198
Sr 3.665 -1.895 5.111
Sr 6.110 0.000 2.565
Ga 1.877 4.535 4.573
Ga 1.877 -4.535 4.573
Au 2.531 0.000 2.627
```

---

Which one sits at the bottom of the stability order? x does.